1.
Density functional theory data (PBE-GGA) for crystalline LiLa4Tc2 at its relaxed geometry.

The formation energy comes out at 371 meV/atom. Its energy is -5.68 eV per atom.

Lattice parameters (Å, degrees): 5.596 5.596 13.476 90.00 90.00 90.00
Space group I4/mmm (No. 139)
Asymmetric unit:
1 Li 0.000 0.000 0.000 (multiplicity 2)
2 La 0.000 0.000 0.224 (multiplicity 4)
3 La 0.000 0.500 0.000 (multiplicity 4)
4 Tc 0.000 0.000 0.398 (multiplicity 4)



2.
Density functional theory data (PBE-GGA) for crystalline LiLa2Tc at its relaxed geometry.

The formation energy comes out at 214 meV/atom. Its energy is -5.32 eV per atom.

Lattice parameters (Å, degrees): 3.676 3.676 7.400 90.00 90.00 90.00
Space group P4mm (No. 99)
Asymmetric unit:
1 Li 0.000 0.000 0.000 (multiplicity 1)
2 La 0.000 0.000 0.370 (multiplicity 1)
3 La 0.500 0.500 0.785 (multiplicity 1)
4 Tc 0.500 0.500 0.121 (multiplicity 1)



3.
Density functional theory data (PBE-GGA) for crystalline LiLa2Tc at its relaxed geometry.

The formation energy comes out at 186 meV/atom. Its energy is -5.35 eV per atom.

Lattice parameters (Å, degrees): 12.367 3.524 5.176 90.00 114.59 90.00
Space group Cm (No. 8)
Asymmetric unit:
1 Li 0.000 0.000 0.000 (multiplicity 2)
2 La 0.118 0.500 0.618 (multiplicity 2)
3 La 0.318 0.500 0.318 (multiplicity 2)
4 Tc 0.306 0.000 0.805 (multiplicity 2)



4.
Density functional theory data (PBE-GGA) for crystalline LiLaTc2 at its relaxed geometry.

The formation energy comes out at 460 meV/atom. The calculation puts the energy relative to the lowest polymorph listed for this composition at 343 meV/atom. Its energy is -6.43 eV per atom.

Lattice parameters (Å, degrees): 3.412 3.412 6.569 90.00 90.00 90.00
Space group P4/mmm (No. 123)
Asymmetric unit:
1 Li 0.000 0.000 0.000 (multiplicity 1)
2 La 0.000 0.000 0.500 (multiplicity 1)
3 Tc 0.500 0.500 0.168 (multiplicity 2)



> energy of number 1 (LiLa4Tc2)?

-5.68 eV per atom



> Which value of energy does entry 2 give?

-5.32 eV per atom